Here is a relaxed structure of Cs2InW3O12 from the Alexandria database. Energies are from GGA+U.

DFT total energy   -6.65 eV per atom

Unit cell a=7.5586 b=7.5586 c=7.5586 alpha=59.40 beta=59.40 gamma=59.40
With the nearest neighbours (Å) after each atom.
Atoms (fractional coordinates):
Cs 0.1268 0.1268 0.1268  6 O 3.22-3.43
Cs 0.8732 0.8732 0.8732  6 O 3.22-3.43
In 0.5000 0.5000 0.5000  6 O 2.17
W 0.0000 0.5000 0.5000  6 O 1.90-1.96
W 0.5000 0.0000 0.5000  6 O 1.90-1.96
W 0.5000 0.5000 0.0000  6 O 1.90-1.96
O 0.1578 0.5715 0.5715  1 W 1.90
O 0.1954 0.1954 0.5641  2 W 1.96
O 0.1954 0.5641 0.1954  2 W 1.96
O 0.4285 0.4285 0.8422  1 W 1.90
O 0.4285 0.8422 0.4285  1 W 1.90
O 0.4359 0.8046 0.8046  2 W 1.96
O 0.5641 0.1954 0.1954  2 W 1.96
O 0.5715 0.1578 0.5715  1 W 1.90
O 0.5715 0.5715 0.1578  1 W 1.90
O 0.8046 0.4359 0.8046  2 W 1.96
O 0.8046 0.8046 0.4359  2 W 1.96
O 0.8422 0.4285 0.4285  1 W 1.90